# 1
Here is a relaxed structure of PmZn2Ni from OQMD via LeMat-Bulk. Energies are from GGA-PBE.

Calculated values
Calculated volume   17.85 A^3/atom
Space group   Cmcm, No. 63
VASP energy   -3.6139 eV per atom
Energy relative to the elements   -9.30 kcal/mol of atoms

Cell: 5.215 5.215 7.363 Å, 90.00 90.00 134.51°
Fractional positions:
Zn 0.847 0.153 0.554
Zn 0.847 0.153 0.946
Zn 0.153 0.847 0.446
Zn 0.153 0.847 0.054
Pm 0.563 0.437 0.750
Pm 0.437 0.563 0.250
Ni 0.280 0.720 0.750
Ni 0.720 0.280 0.250

# 2
Here is a relaxed structure of Pm3Zn2Ni7 from OQMD via LeMat-Bulk. Energies are from GGA-PBE.

Calculated values
Calculated volume   15.57 A^3/atom
Space group   R-3m, No. 166
VASP energy   -5.0225 eV per atom
Energy relative to the elements   -8.71 kcal/mol of atoms

Cell: 8.606 8.606 8.606 Å, 34.95 34.95 34.95°
Fractional positions:
Ni 0.915 0.419 0.419
Ni 0.500 0.500 0.500
Ni 0.419 0.419 0.915
Ni 0.581 0.085 0.581
Ni 0.581 0.581 0.085
Ni 0.419 0.915 0.419
Ni 0.085 0.581 0.581
Pm 0.000 0.000 0.000
Pm 0.140 0.140 0.140
Pm 0.860 0.860 0.860
Zn 0.667 0.667 0.667
Zn 0.333 0.333 0.333

# 3
Here is a relaxed structure of Pr5Ni19 from OQMD via LeMat-Bulk. Energies are from GGA-PBE.

Calculated values
Calculated volume   14.63 A^3/atom
Space group   R-3m, No. 166
VASP energy   -5.6860 eV per atom
Energy relative to the elements   -6.54 kcal/mol of atoms

Cell: 5.007 5.007 16.434 Å, 98.76 81.24 120.00°
Last column: magnetic moment on the atom in μB.
Fractional positions:
Pr 0.078 0.922 0.765  0.04
Pr 0.848 0.152 0.455  0.03
Pr 0.152 0.848 0.545  0.03
Pr 0.000 0.000 0.000  0.05
Pr 0.922 0.078 0.235  0.04
Ni 0.667 0.333 0.000  -0.26
Ni 0.377 0.123 0.369  -0.13
Ni 0.749 0.251 0.753  -0.19
Ni 0.623 0.877 0.631  -0.13
Ni 0.459 0.541 0.122  -0.32
Ni 0.541 0.960 0.878  -0.34
Ni 0.415 0.585 0.754  -0.18
Ni 0.500 0.500 0.500  -0.05
Ni 0.333 0.667 0.000  -0.26
Ni 0.377 0.623 0.369  -0.13
Ni 0.877 0.623 0.369  -0.12
Ni 0.960 0.541 0.122  -0.30
Ni 0.459 0.040 0.122  -0.34
Ni 0.541 0.459 0.878  -0.32
Ni 0.251 0.749 0.247  -0.19
Ni 0.123 0.377 0.631  -0.12
Ni 0.623 0.377 0.631  -0.13
Ni 0.585 0.415 0.246  -0.18
Ni 0.040 0.459 0.878  -0.30

# 4
Here is a relaxed structure of Pr2Ni7 from OQMD via LeMat-Bulk. Energies are from GGA-PBE.

Calculated values
Calculated volume   14.76 A^3/atom
Space group   P6_3/mmc, No. 194
Excess energy over the best structure of this formula in the dataset   0.1 kJ/mol of atoms
VASP energy   -5.6800 eV per atom
Energy relative to the elements   -6.65 kcal/mol of atoms

Cell: 5.016 5.016 24.378 Å, 90.00 90.00 120.00°
Last column: magnetic moment on the atom in μB.
Fractional positions:
Ni 0.666 0.833 0.250  0.22
Ni 0.833 0.666 0.750  0.31
Ni 0.667 0.833 0.087  0.09
Ni 0.167 0.833 0.087  0.13
Ni 0.333 0.667 0.168  0.20
Ni 0.000 0.000 0.669  0.20
Ni 0.000 0.000 0.831  0.20
Ni 0.000 0.000 0.331  0.20
Ni 0.333 0.167 0.913  0.09
Ni 0.833 0.667 0.913  0.12
Ni 0.333 0.667 0.332  0.20
Ni 0.000 0.000 0.500  0.03
Ni 0.167 0.333 0.087  0.12
Ni 0.833 0.167 0.587  0.13
Ni 0.667 0.333 0.668  0.20
Ni 0.833 0.167 0.913  0.13
Ni 0.167 0.334 0.250  0.31
Ni 0.333 0.167 0.587  0.09
Ni 0.833 0.667 0.587  0.12
Ni 0.167 0.333 0.413  0.12
Ni 0.334 0.167 0.750  0.22
Ni 0.167 0.833 0.250  0.36
Ni 0.000 0.000 0.000  0.03
Ni 0.833 0.167 0.750  0.36
Ni 0.667 0.333 0.832  0.20
Ni 0.000 0.000 0.169  0.20
Ni 0.667 0.833 0.413  0.09
Ni 0.167 0.833 0.413  0.13
Pr 0.667 0.333 0.470  -0.03
Pr 0.333 0.667 0.674  -0.04
Pr 0.667 0.333 0.326  -0.04
Pr 0.667 0.333 0.030  -0.03
Pr 0.333 0.667 0.530  -0.03
Pr 0.667 0.333 0.174  -0.04
Pr 0.333 0.667 0.970  -0.03
Pr 0.333 0.667 0.826  -0.04

# 5
Here is a relaxed structure of Pr2Ni7 from OQMD via LeMat-Bulk. Energies are from GGA-PBE.

Calculated values
Calculated volume   14.83 A^3/atom
Space group   R-3m, No. 166
Excess energy over the best structure of this formula in the dataset   0.0 kJ/mol of atoms
VASP energy   -5.6814 eV per atom
Energy relative to the elements   -6.68 kcal/mol of atoms

Cell: 12.567 12.567 12.567 Å, 23.05 23.05 23.05°
Last column: magnetic moment on the atom in μB.
Fractional positions:
Pr 0.051 0.051 0.051  0.03
Pr 0.853 0.853 0.853  0.02
Pr 0.949 0.949 0.949  0.03
Pr 0.147 0.147 0.147  0.02
Ni 0.279 0.279 0.279  -0.20
Ni 0.608 0.109 0.608  -0.12
Ni 0.387 0.387 0.387  -0.20
Ni 0.000 0.500 0.500  -0.25
Ni 0.721 0.721 0.721  -0.20
Ni 0.608 0.608 0.109  -0.11
Ni 0.392 0.392 0.891  -0.11
Ni 0.891 0.392 0.392  -0.10
Ni 0.613 0.613 0.613  -0.20
Ni 0.500 0.500 0.500  -0.03
Ni 0.500 0.500 0.000  -0.29
Ni 0.500 0.000 0.500  -0.34
Ni 0.109 0.608 0.608  -0.10
Ni 0.392 0.891 0.392  -0.12

# 6
Here is a relaxed structure of PrNi2 from OQMD via LeMat-Bulk. Energies are from GGA-PBE.

Calculated values
Calculated volume   16.38 A^3/atom
Space group   Fd-3m, No. 227
VASP energy   -5.5850 eV per atom
Energy relative to the elements   -6.49 kcal/mol of atoms

Cell: 5.180 5.180 5.180 Å, 60.00 60.00 60.00°
Fractional positions:
Ni 0.625 0.625 0.625
Ni 0.625 0.125 0.625
Ni 0.625 0.625 0.125
Ni 0.125 0.625 0.625
Pr 0.000 0.000 0.000
Pr 0.250 0.250 0.250

# 7
Here is a relaxed structure of PrNi from OQMD via LeMat-Bulk. Energies are from GGA-PBE.

Calculated values
Calculated volume   30.22 A^3/atom
Space group   F-43m, No. 216
VASP energy   -4.7328 eV per atom
Energy relative to the elements   10.11 kcal/mol of atoms

Cell: 4.405 4.405 4.405 Å, 60.00 60.00 60.00°
Fractional positions:
Ni 0.000 0.000 0.000
Pr 0.250 0.250 0.250

# 8
Here is a relaxed structure of PrNi from OQMD via LeMat-Bulk. Energies are from GGA-PBE.

Calculated values
Calculated volume   23.80 A^3/atom
Space group   Fm-3m, No. 225
VASP energy   -5.3145 eV per atom
Energy relative to the elements   -3.30 kcal/mol of atoms

Cell: 4.068 4.068 4.068 Å, 60.00 60.00 60.00°
Fractional positions:
Ni 0.000 0.000 0.000
Pr 0.500 0.500 0.500

# 9
Here is a relaxed structure of Pr5Ni19 from OQMD via LeMat-Bulk. Energies are from GGA-PBE.

Calculated values
Calculated volume   14.78 A^3/atom
Space group   P6_3/mmc, No. 194
VASP energy   -5.6855 eV per atom
Energy relative to the elements   -6.52 kcal/mol of atoms

Cell: 5.024 5.024 32.451 Å, 90.00 90.00 120.00°
Fractional positions:
Ni 0.667 0.333 0.373
Ni 0.667 0.333 0.127
Ni 0.333 0.166 0.066
Ni 0.000 0.000 0.500
Ni 0.333 0.167 0.311
Ni 0.667 0.833 0.811
Ni 0.000 0.000 0.750
Ni 0.667 0.333 0.250
Ni 0.167 0.833 0.811
Ni 0.000 0.000 0.250
Ni 0.166 0.333 0.566
Ni 0.167 0.834 0.934
Ni 0.833 0.167 0.311
Ni 0.333 0.667 0.873
Ni 0.833 0.667 0.434
Ni 0.833 0.166 0.434
Ni 0.667 0.834 0.566
Ni 0.833 0.667 0.189
Ni 0.000 0.000 0.128
Ni 0.333 0.166 0.434
Ni 0.833 0.166 0.066
Ni 0.000 0.000 0.628
Ni 0.000 0.000 0.372
Ni 0.833 0.167 0.189
Ni 0.667 0.833 0.689
Ni 0.000 0.000 0.000
Ni 0.333 0.667 0.750
Ni 0.167 0.333 0.689
Ni 0.833 0.667 0.066
Ni 0.000 0.000 0.872
Ni 0.667 0.834 0.934
Ni 0.167 0.834 0.566
Ni 0.833 0.667 0.311
Ni 0.167 0.833 0.689
Ni 0.167 0.333 0.811
Ni 0.333 0.167 0.189
Ni 0.166 0.333 0.934
Ni 0.333 0.667 0.627
Pr 0.333 0.667 0.133
Pr 0.667 0.333 0.867
Pr 0.333 0.667 0.250
Pr 0.333 0.667 0.477
Pr 0.667 0.333 0.523
Pr 0.333 0.667 0.023
Pr 0.667 0.333 0.633
Pr 0.667 0.333 0.750
Pr 0.667 0.333 0.977
Pr 0.333 0.667 0.367

# 10
Here is a relaxed structure of PrNi from OQMD via LeMat-Bulk. Energies are from GGA-PBE.

Calculated values
Calculated volume   22.18 A^3/atom
Space group   P-6m2, No. 187
VASP energy   -5.0997 eV per atom
Energy relative to the elements   1.65 kcal/mol of atoms

Cell: 3.558 3.558 4.046 Å, 90.00 90.00 120.00°
Fractional positions:
Ni 0.667 0.333 0.750
Pr 0.333 0.667 0.250

# 11
Here is a relaxed structure of Pr2Ni from OQMD via LeMat-Bulk. Energies are from GGA-PBE.

Calculated values
Calculated volume   28.41 A^3/atom
Space group   Fd-3m, No. 227
VASP energy   -4.1187 eV per atom
Energy relative to the elements   21.22 kcal/mol of atoms

Cell: 6.224 6.224 6.224 Å, 60.00 60.00 60.00°
Fractional positions:
Pr 0.625 0.625 0.125
Pr 0.125 0.625 0.625
Pr 0.625 0.625 0.625
Pr 0.625 0.125 0.625
Ni 0.000 0.000 0.000
Ni 0.250 0.250 0.250

# 12
Here is a relaxed structure of PrNi2 from OQMD via LeMat-Bulk. Energies are from GGA-PBE.

Calculated values
Calculated volume   21.68 A^3/atom
Space group   P4_2/mnm, No. 136
VASP energy   -4.6355 eV per atom
Energy relative to the elements   15.40 kcal/mol of atoms

Cell: 5.073 5.073 5.054 Å, 90.00 90.00 90.00°
Fractional positions:
Pr 0.000 0.000 0.000
Pr 0.500 0.500 0.500
Ni 0.845 0.155 0.500
Ni 0.345 0.345 0.000
Ni 0.655 0.655 0.000
Ni 0.155 0.845 0.500

# 13
Here is a relaxed structure of Pr3Ni2Pt7 from OQMD via LeMat-Bulk. Energies are from GGA-PBE.

Calculated values
Calculated volume   18.69 A^3/atom
Space group   R-3m, No. 166
VASP energy   -6.4852 eV per atom
Energy relative to the elements   -19.16 kcal/mol of atoms

Cell: 9.210 9.210 9.210 Å, 34.56 34.56 34.56°
Last column: magnetic moment on the atom in μB.
Fractional positions:
Pt 0.581 0.077 0.581  0.09
Pt 0.581 0.581 0.077  0.07
Pt 0.077 0.581 0.581  0.06
Pt 0.419 0.923 0.419  0.09
Pt 0.500 0.500 0.500  0.05
Pt 0.419 0.419 0.923  0.07
Pt 0.923 0.419 0.419  0.06
Pr 0.000 0.000 0.000  -0.01
Pr 0.139 0.139 0.139  0.00
Pr 0.861 0.861 0.861  0.00
Ni 0.667 0.667 0.667  0.35
Ni 0.333 0.333 0.333  0.35

# 14
Here is a relaxed structure of Pr2Si4NiPt from OQMD via LeMat-Bulk. Energies are from GGA-PBE.

Calculated values
Calculated volume   18.49 A^3/atom
Space group   Amm2, No. 38
VASP energy   -6.2575 eV per atom

Cell: 4.176 8.607 8.607 Å, 28.57 90.00 90.00°
Fractional positions:
Si 0.500 0.535 0.535
Si 0.000 0.756 0.756
Si 0.000 0.459 0.459
Si 0.500 0.255 0.255
Pt 0.500 0.680 0.680
Pr 0.000 0.103 0.103
Pr 0.500 0.893 0.893
Ni 0.000 0.319 0.319

# 15
Here is a relaxed structure of Pr2SmNi6Pt3 from OQMD via LeMat-Bulk. Energies are from GGA-PBE.

Calculated values
Calculated volume   16.51 A^3/atom
Space group   R-3m, No. 166
VASP energy   -6.0312 eV per atom
Energy relative to the elements   -12.57 kcal/mol of atoms

Cell: 9.069 9.069 9.069 Å, 33.11 33.11 33.11°
Last column: magnetic moment on the atom in μB.
Fractional positions:
Ni 0.416 0.920 0.416  -0.17
Ni 0.584 0.584 0.080  -0.15
Ni 0.080 0.584 0.584  -0.13
Ni 0.920 0.416 0.416  -0.13
Ni 0.584 0.080 0.584  -0.17
Ni 0.416 0.416 0.920  -0.15
Pr 0.862 0.862 0.862  0.03
Pr 0.138 0.138 0.138  0.03
Sm 0.000 0.000 0.000  0.01
Pt 0.333 0.333 0.333  -0.06
Pt 0.500 0.500 0.500  -0.03
Pt 0.667 0.667 0.667  -0.06

# 16
Here is a relaxed structure of PrSm2Ni2Pt7 from OQMD via LeMat-Bulk. Energies are from GGA-PBE.

Calculated values
Calculated volume   18.27 A^3/atom
Space group   R-3m, No. 166
VASP energy   -6.5016 eV per atom
Energy relative to the elements   -19.79 kcal/mol of atoms

Cell: 9.117 9.117 9.117 Å, 34.70 34.70 34.70°
Last column: magnetic moment on the atom in μB.
Fractional positions:
Pt 0.923 0.418 0.418  0.04
Pt 0.582 0.582 0.077  0.06
Pt 0.582 0.077 0.582  0.07
Pt 0.418 0.923 0.418  0.07
Pt 0.500 0.500 0.500  0.04
Pt 0.418 0.418 0.923  0.06
Pt 0.077 0.582 0.582  0.04
Ni 0.667 0.667 0.667  0.28
Ni 0.333 0.333 0.333  0.28
Pr 0.000 0.000 0.000  -0.01
Sm 0.861 0.861 0.861  0.00
Sm 0.139 0.139 0.139  0.00

# 17
Here is a relaxed structure of PrSm2Ni7Pt2 from OQMD via LeMat-Bulk. Energies are from GGA-PBE.

Calculated values
Calculated volume   15.92 A^3/atom
Space group   R-3m, No. 166
VASP energy   -5.9028 eV per atom
Energy relative to the elements   -10.67 kcal/mol of atoms

Cell: 8.855 8.855 8.855 Å, 33.76 33.76 33.76°
Last column: magnetic moment on the atom in μB.
Fractional positions:
Ni 0.914 0.414 0.414  -0.12
Ni 0.500 0.500 0.500  -0.12
Ni 0.414 0.414 0.914  -0.13
Ni 0.586 0.586 0.086  -0.13
Ni 0.086 0.586 0.586  -0.12
Ni 0.414 0.914 0.414  -0.15
Ni 0.586 0.086 0.586  -0.15
Pt 0.332 0.332 0.332  -0.04
Pt 0.668 0.668 0.668  -0.04
Sm 0.860 0.860 0.860  0.03
Sm 0.140 0.140 0.140  0.03
Pr 0.000 0.000 0.000  0.01

# 18
Here is a relaxed structure of Pr2SmNi2Pt7 from OQMD via LeMat-Bulk. Energies are from GGA-PBE.

Calculated values
Calculated volume   18.53 A^3/atom
Space group   R-3m, No. 166
VASP energy   -6.4790 eV per atom
Energy relative to the elements   -19.14 kcal/mol of atoms

Cell: 9.213 9.213 9.213 Å, 34.38 34.38 34.38°
Last column: magnetic moment on the atom in μB.
Fractional positions:
Pt 0.924 0.420 0.420  0.07
Pt 0.580 0.580 0.076  0.08
Pt 0.076 0.580 0.580  0.07
Pt 0.580 0.076 0.580  0.10
Pt 0.420 0.420 0.924  0.08
Pt 0.420 0.924 0.420  0.10
Pt 0.500 0.500 0.500  0.05
Pr 0.139 0.139 0.139  0.00
Pr 0.861 0.861 0.861  0.00
Sm 0.000 0.000 0.000  -0.01
Ni 0.667 0.667 0.667  0.38
Ni 0.333 0.333 0.333  0.38

# 19
Here is a relaxed structure of PrSm2NiPt8 from OQMD via LeMat-Bulk. Energies are from GGA-PBE.

Calculated values
Calculated volume   18.65 A^3/atom
Space group   R-3m, No. 166
VASP energy   -6.5621 eV per atom
Energy relative to the elements   -20.24 kcal/mol of atoms

Cell: 9.260 9.260 9.260 Å, 34.21 34.21 34.21°
Fractional positions:
Pt 0.411 0.913 0.411
Pt 0.333 0.333 0.333
Pt 0.589 0.087 0.589
Pt 0.913 0.411 0.411
Pt 0.087 0.589 0.589
Pt 0.589 0.589 0.087
Pt 0.411 0.411 0.913
Pt 0.667 0.667 0.667
Sm 0.860 0.860 0.860
Sm 0.140 0.140 0.140
Pr 0.000 0.000 0.000
Ni 0.500 0.500 0.500